No. 1
Below is BeB after structural relaxation, with properties calculated at the PBE-GGA level.

Cell lengths 4.454, 4.979, 5.646 Å; angles 90.00, 90.00, 90.00 degrees
Space group P2_12_12_1 (No. 19)
Inequivalent atoms, fractional coordinates:
Be 0.010 0.005 0.467
Be 0.021 0.926 0.856
B 0.119 0.119 0.146
B 0.168 0.377 0.328

Calculated values
- Formation energy: 0.277 eV per formula unit
- Calculated density: 2.1 g cm⁻³
- Spin magnetization: 0.000 μB/f.u.
- ΔE to the lowest computed polymorph: 0.108 eV/atom

=====

No. 2
Below is Sr2PmCd3 after structural relaxation, with properties calculated at the PBE-GGA level.

Cell lengths 3.956, 3.956, 12.073 Å; angles 90.00, 90.00, 90.00 degrees
Space group P4/mmm (No. 123)
Inequivalent atoms, fractional coordinates:
Sr 0.000 0.000 0.173
Pm 0.000 0.000 0.500
Cd 0.500 0.500 0.000
Cd 0.500 0.500 0.352

Calculated values
- Formation energy: -1.937 eV per formula unit
- Calculated density: 5.8 g cm⁻³
- Spin magnetization: 0.124 μB/f.u.
- ΔE to the lowest computed polymorph: 0.000 eV/atom

=====

No. 3
Below is Er2CdIn4 after structural relaxation, with properties calculated at the PBE-GGA level.

Cell lengths 8.919, 9.272, 4.502 Å; angles 90.00, 90.00, 90.00 degrees
Space group Cmmm (No. 65)
Inequivalent atoms, fractional coordinates:
Er 0.241 0.000 0.000
Cd 0.000 0.500 0.500
In 0.000 0.247 0.000
In 0.250 0.250 0.500

Calculated values
- Formation energy: -1.759 eV per formula unit
- Calculated density: 8.1 g cm⁻³
- Spin magnetization: 0.000 μB/f.u.

=====

No. 4
Below is KMnNi after structural relaxation, with properties calculated at the PBE-GGA level.

Cell lengths 6.898, 6.898, 6.898 Å; angles 90.00, 90.00, 90.00 degrees
Space group F-43m (No. 216)
Inequivalent atoms, fractional coordinates:
K 0.000 0.000 0.000
Mn 0.250 0.250 0.250
Ni 0.250 0.250 0.750

Calculated values
- Formation energy: 5.255 eV per formula unit
- Calculated density: 3.1 g cm⁻³
- Spin magnetization: 5.014 μB/f.u.
- ΔE to the lowest computed polymorph: 1.390 eV/atom

=====

No. 5
Below is GaTcCS2 after structural relaxation, with properties calculated at the PBE-GGA level.

Cell lengths 4.822, 4.822, 3.773 Å; angles 90.00, 90.00, 90.00 degrees
Space group P4/mmm (No. 123)
Inequivalent atoms, fractional coordinates:
Ga 0.000 0.000 0.000
Tc 0.500 0.500 0.500
C 0.000 0.000 0.500
S 0.000 0.500 0.000

Calculated values
- Calculated density: 4.6 g cm⁻³
- Spin magnetization: 2.487 μB/f.u.
- E_form (uncorrected): 1457 meV/atom

=====

No. 6
Below is AlCr2Fe4 after structural relaxation, with properties calculated at the PBE-GGA level.

Cell lengths 5.585, 7.898, 3.821 Å; angles 90.00, 90.00, 90.00 degrees
Space group Cmmm (No. 65)
Inequivalent atoms, fractional coordinates:
Al 0.000 0.000 0.000
Cr 0.000 0.249 0.500
Fe 0.222 0.500 0.500
Fe 0.250 0.250 0.000

Calculated values
- Formation energy: 2.075 eV per formula unit
- Calculated density: 7.0 g cm⁻³
- Spin magnetization: 0.658 μB/f.u.

=====

No. 7
Below is La3SnTe2 after structural relaxation, with properties calculated at the PBE-GGA level.

Cell lengths 7.995, 13.840, 7.992 Å; angles 90.00, 109.58, 90.00 degrees
Space group C2/c (No. 15)
Inequivalent atoms, fractional coordinates:
La 0.242 0.081 0.499
La 0.250 0.250 0.000
Sn 0.000 0.086 0.750
Te 0.000 0.252 0.250
Te 0.000 0.417 0.750

Calculated values
- Calculated density: 6.3 g cm⁻³
- Spin magnetization: 0.000 μB/f.u.
- ΔE to the lowest computed polymorph: 0.000 eV/atom
- E_form (uncorrected): -1374 meV/atom

=====

No. 8
Below is LaTb2NdSb4 after structural relaxation, with properties calculated at the PBE-GGA level.

Cell lengths 7.769, 4.495, 7.780 Å; angles 90.00, 109.50, 90.00 degrees
Space group P2/m (No. 10)
Inequivalent atoms, fractional coordinates:
La 0.000 0.000 0.000
Tb 0.500 0.000 0.500
Tb 0.500 0.500 0.000
Nd 0.000 0.500 0.500
Sb 0.259 0.000 0.751
Sb 0.261 0.500 0.256

Calculated values
- Calculated density: 7.1 g cm⁻³
- Spin magnetization: 0.000 μB/f.u.
- E_form (uncorrected): -1187 meV/atom

=====

No. 9
Below is BSb2TeH after structural relaxation, with properties calculated at the PBE-GGA level.

Cell lengths 4.839, 4.839, 4.836 Å; angles 90.00, 90.00, 90.00 degrees
Space group P4/mmm (No. 123)
Inequivalent atoms, fractional coordinates:
B 0.000 0.000 0.000
Sb 0.000 0.500 0.000
Te 0.000 0.000 0.500
H 0.500 0.500 0.500

Calculated values
- Calculated density: 5.6 g cm⁻³
- Spin magnetization: 0.138 μB/f.u.
- ΔE to the lowest computed polymorph: 0.000 eV/atom

=====

No. 10
Below is PmSmTh2As4 after structural relaxation, with properties calculated at the PBE-GGA level.

Cell lengths 7.327, 4.248, 7.356 Å; angles 90.00, 109.63, 90.00 degrees
Space group P2/m (No. 10)
Inequivalent atoms, fractional coordinates:
Pm 0.000 0.000 0.000
Sm 0.000 0.500 0.500
Th 0.500 0.000 0.500
Th 0.500 0.500 0.000
As 0.250 0.000 0.749
As 0.250 0.500 0.251

Calculated values
- Formation energy: -11.822 eV per formula unit
- Calculated density: 8.2 g cm⁻³
- Spin magnetization: 0.000 μB/f.u.

=====

No. 11
Below is Ba2ZrNiAu after structural relaxation, with properties calculated at the PBE-GGA level.

Cell lengths 6.253, 6.253, 4.794 Å; angles 90.00, 90.00, 90.00 degrees
Space group P4/mmm (No. 123)
Inequivalent atoms, fractional coordinates:
Ba 0.000 0.500 0.000
Zr 0.000 0.000 0.500
Ni 0.500 0.500 0.500
Au 0.500 0.500 0.000

Calculated values
- Formation energy: 3.067 eV per formula unit
- Calculated density: 5.5 g cm⁻³
- Spin magnetization: 3.323 μB/f.u.

=====

No. 12
Below is Hf4TiPb after structural relaxation, with properties calculated at the PBE-GGA level.

Cell lengths 4.660, 4.660, 6.966 Å; angles 90.00, 90.00, 90.00 degrees
Space group P4/mmm (No. 123)
Inequivalent atoms, fractional coordinates:
Hf 0.000 0.500 0.218
Ti 0.000 0.000 0.000
Pb 0.500 0.500 0.500

Calculated values
- Formation energy: 3.130 eV per formula unit
- Calculated density: 10.6 g cm⁻³
- Spin magnetization: 0.001 μB/f.u.

=====

No. 13
Below is CaY2Sn after structural relaxation, with properties calculated at the PBE-GGA level.

Cell lengths 4.931, 4.931, 4.785 Å; angles 90.00, 90.00, 90.00 degrees
Space group P4/mmm (No. 123)
Inequivalent atoms, fractional coordinates:
Ca 0.000 0.000 0.000
Y 0.000 0.500 0.500
Sn 0.500 0.500 0.000

Calculated values
- Formation energy: -1.488 eV per formula unit
- Calculated density: 4.8 g cm⁻³
- Spin magnetization: 0.000 μB/f.u.

=====

No. 14
Below is UTlF5 after structural relaxation, with properties calculated at the PBE-GGA level.

Cell lengths 10.582, 7.920, 9.104 Å; angles 90.00, 113.28, 90.00 degrees
Space group C2/c (No. 15)
Inequivalent atoms, fractional coordinates:
U 0.000 0.000 0.000
Tl 0.000 0.483 0.250
F 0.000 0.044 0.250
F 0.000 0.270 0.533
F 0.219 0.005 0.602

Calculated values
- Calculated density: 5.1 g cm⁻³
- Spin magnetization: 2.000 μB/f.u.
- E_form (uncorrected): -3121 meV/atom

=====

No. 15
Below is Zn5Sb3 after structural relaxation, with properties calculated at the PBE-GGA level.

Cell lengths 12.731, 16.575, 6.941 Å; angles 90.00, 90.00, 90.00 degrees
Space group Fmm2 (No. 42)
Inequivalent atoms, fractional coordinates:
Zn 0.000 0.000 0.000
Zn 0.000 0.000 0.454
Zn 0.096 0.177 0.676
Zn 0.172 0.095 0.032
Sb 0.000 0.136 0.237
Sb 0.168 0.000 0.692
Sb 0.250 0.250 0.449

Calculated values
- Calculated density: 6.3 g cm⁻³
- Spin magnetization: 0.000 μB/f.u.
- ΔE to the lowest computed polymorph: 0.000 eV/atom
- E_form (uncorrected): 88 meV/atom

=====

No. 16
Below is Te3Cl after structural relaxation, with properties calculated at the PBE-GGA level.

Cell lengths 3.428, 3.428, 9.049 Å; angles 90.00, 90.00, 90.00 degrees
Space group P4/mmm (No. 123)
Inequivalent atoms, fractional coordinates:
Te 0.000 0.000 0.000
Te 0.500 0.500 0.246
Cl 0.000 0.000 0.500

Calculated values
- Calculated density: 6.5 g cm⁻³
- Spin magnetization: 0.000 μB/f.u.
- ΔE to the lowest computed polymorph: 0.329 eV/atom
- E_form (uncorrected): 270 meV/atom

=====

No. 17
Below is HfSi3As after structural relaxation, with properties calculated at the PBE-GGA level.

Cell lengths 4.694, 4.694, 4.694 Å; angles 90.00, 90.00, 90.00 degrees
Space group Pm-3m (No. 221)
Inequivalent atoms, fractional coordinates:
Hf 0.000 0.000 0.000
Si 0.000 0.500 0.500
As 0.500 0.500 0.500

Calculated values
- Calculated density: 5.4 g cm⁻³
- Spin magnetization: 0.000 μB/f.u.
- ΔE to the lowest computed polymorph: 0.000 eV/atom
- E_form (uncorrected): 977 meV/atom

=====

No. 18
Below is Hg3Os2 after structural relaxation, with properties calculated at the PBE-GGA level.

Cell lengths 2.9075, 2.9075, 37.7742 Å; angles 90.00, 90.00, 120.00 degrees
Space group R-3m (No. 166, hexagonal axes)
Inequivalent atoms, fractional coordinates:
Hg 0.0000 0.0000 0.0000
Hg 0.0000 0.0000 0.2065
Os 0.0000 0.0000 0.3952

Calculated values
- Formation energy: 4.461 eV per formula unit
- Calculated density: 17.7 g cm⁻³
- Spin magnetization: 0.000 μB/f.u.
- ΔE to the lowest computed polymorph: 0.064 eV/atom

=====

No. 19
Below is BP3F after structural relaxation, with properties calculated at the PBE-GGA level.

Cell lengths 4.076, 4.076, 4.076 Å; angles 90.00, 90.00, 90.00 degrees
Space group Pm-3m (No. 221)
Inequivalent atoms, fractional coordinates:
B 0.000 0.000 0.000
P 0.000 0.000 0.500
F 0.500 0.500 0.500

Calculated values
- Calculated density: 3.0 g cm⁻³
- Spin magnetization: 0.000 μB/f.u.
- ΔE to the lowest computed polymorph: 0.000 eV/atom
- E_form (uncorrected): 647 meV/atom

=====

No. 20
Below is CaPrTlRh after structural relaxation, with properties calculated at the PBE-GGA level.

Cell lengths 3.508, 3.508, 8.443 Å; angles 90.00, 90.00, 90.00 degrees
Space group P4mm (No. 99)
Inequivalent atoms, fractional coordinates:
Ca 0.000 0.000 0.000
Pr 0.000 0.000 0.586
Tl 0.500 0.500 0.283
Rh 0.500 0.500 0.783

Calculated values
- Formation energy: -1.803 eV per formula unit
- Calculated density: 7.8 g cm⁻³
- Spin magnetization: 0.000 μB/f.u.
- ΔE to the lowest computed polymorph: 0.000 eV/atom